# 1
A plane-wave DFT calculation with PBE was carried out for a relaxed structure of YZr3In.

Unit cell a=5.3559 b=5.3559 c=5.3559 alpha=90.00 beta=90.00 gamma=90.00
With the nearest neighbours (Å) after each atom.
Atoms (fractional coordinates):
Y 0.0000 0.0000 0.0000  12 Zr 3.79
Zr 0.0000 0.5000 0.5000  2 In 2.68
Zr 0.5000 0.0000 0.5000  2 In 2.68
Zr 0.5000 0.5000 0.0000  2 In 2.68
In 0.5000 0.5000 0.5000  6 Zr 2.68

Computed properties:
- E_form (eV per atom) = 0.823
- relative energy among the computed polymorphs (eV per atom) = 0.0000
- E (eV per atom) = -6.15



# 2
A plane-wave DFT calculation with PBE was carried out for a relaxed structure of YZr2In.

Unit cell a=10.8079 b=3.2838 c=5.6808 alpha=90.00 beta=100.72 gamma=90.00
With the nearest neighbours (Å) after each atom.
Atoms (fractional coordinates):
Y 0.0000 0.0000 0.0000  3 In 3.22-3.27, 7 Zr 3.24-3.46, 2 Y 3.28
Y 0.5000 0.5000 0.0000  3 In 3.22-3.27, 7 Zr 3.24-3.46, 2 Y 3.28
Zr 0.0140 0.5000 0.5027  3 In 3.17-3.42, 5 Zr 3.17-3.28, 4 Y 3.27-3.30
Zr 0.2676 0.5000 0.2876  5 Zr 3.17-3.28, 4 In 3.17-3.40, 3 Y 3.24-3.46
Zr 0.5140 0.0000 0.5027  3 In 3.17-3.42, 5 Zr 3.17-3.28, 4 Y 3.27-3.30
Zr 0.7676 0.0000 0.2876  5 Zr 3.17-3.28, 4 In 3.17-3.40, 3 Y 3.24-3.46
In 0.2519 0.0000 0.7592  7 Zr 3.17-3.42, 3 Y 3.22-3.27, 2 In 3.28
In 0.7519 0.5000 0.7592  7 Zr 3.17-3.42, 3 Y 3.22-3.27, 2 In 3.28

Computed properties:
- E_form (eV per atom) = -0.082
- relative energy among the computed polymorphs (eV per atom) = 0.1534
- E (eV per atom) = -6.66



# 3
A plane-wave DFT calculation with PBE was carried out for a relaxed structure of YZr2In.

Unit cell a=8.3284 b=8.3284 c=6.0471 alpha=90.00 beta=90.00 gamma=90.00
With the nearest neighbours (Å) after each atom.
Atoms (fractional coordinates):
Y 0.0000 0.0000 0.0000  2 In 3.02, 4 Zr 3.17
Y 0.0000 0.5000 0.2500  2 In 3.02, 4 Zr 3.17
Y 0.5000 0.0000 0.7500  2 In 3.02, 4 Zr 3.17
Y 0.5000 0.5000 0.5000  2 In 3.02, 4 Zr 3.17
Zr 0.2280 0.7500 0.6250  2 In 2.92, 2 Zr 3.05, 2 Y 3.17
Zr 0.2500 0.2280 0.3750  2 In 2.92, 2 Zr 3.05, 2 Y 3.17
Zr 0.2500 0.2720 0.8750  2 In 2.92, 2 Zr 3.05, 2 Y 3.17
Zr 0.2720 0.7500 0.1250  2 In 2.92, 2 Zr 3.05, 2 Y 3.17
Zr 0.7280 0.2500 0.1250  2 In 2.92, 2 Zr 3.05, 2 Y 3.17
Zr 0.7500 0.7280 0.8750  2 In 2.92, 2 Zr 3.05, 2 Y 3.17
Zr 0.7500 0.7720 0.3750  2 In 2.92, 2 Zr 3.05, 2 Y 3.17
Zr 0.7720 0.2500 0.6250  2 In 2.92, 2 Zr 3.05, 2 Y 3.17
In 0.0000 0.0000 0.5000  4 Zr 2.92, 2 Y 3.02
In 0.0000 0.5000 0.7500  4 Zr 2.92, 2 Y 3.02
In 0.5000 0.0000 0.2500  4 Zr 2.92, 2 Y 3.02
In 0.5000 0.5000 0.0000  4 Zr 2.92, 2 Y 3.02

Computed properties:
- E_form (eV per atom) = 0.289
- relative energy among the computed polymorphs (eV per atom) = 0.5242
- E (eV per atom) = -6.29



# 4
A plane-wave DFT calculation with PBE was carried out for a relaxed structure of YZr2In.

Unit cell a=3.2822 b=3.2822 c=9.1924 alpha=90.00 beta=90.00 gamma=90.00
With the nearest neighbours (Å) after each atom.
Atoms (fractional coordinates):
Y 0.0000 0.0000 0.0000  4 Y 3.28, 8 Zr 3.39
Zr 0.5000 0.5000 0.2691  4 In 3.14, 4 Zr 3.28, 4 Y 3.39
Zr 0.5000 0.5000 0.7309  4 In 3.14, 4 Zr 3.28, 4 Y 3.39
In 0.0000 0.0000 0.5000  8 Zr 3.14, 4 In 3.28

Computed properties:
- E_form (eV per atom) = -0.067
- relative energy among the computed polymorphs (eV per atom) = 0.1678
- E (eV per atom) = -6.64



# 5
A plane-wave DFT calculation with PBE was carried out for a relaxed structure of Yb2In.

Unit cell a=6.9039 b=5.2874 c=9.8219 alpha=90.00 beta=90.00 gamma=90.00
With the nearest neighbours (Å) after each atom.
Atoms (fractional coordinates):
Yb 0.0343 0.2500 0.2140  5 In 3.32-3.64, 8 Yb 3.52-3.71
Yb 0.1839 0.2500 0.5696  4 In 3.21-3.27, 2 Yb 3.58
Yb 0.3161 0.7500 0.0696  4 In 3.21-3.27, 2 Yb 3.58
Yb 0.4657 0.7500 0.7140  5 In 3.32-3.64, 8 Yb 3.52-3.71
Yb 0.5343 0.2500 0.2860  5 In 3.32-3.64, 8 Yb 3.52-3.71
Yb 0.6839 0.2500 0.9304  4 In 3.21-3.27, 2 Yb 3.58
Yb 0.8161 0.7500 0.4304  4 In 3.21-3.27, 2 Yb 3.58
Yb 0.9657 0.7500 0.7860  5 In 3.32-3.64, 8 Yb 3.52-3.71
In 0.2122 0.2500 0.8958  7 Yb 3.21-3.36
In 0.2878 0.7500 0.3958  7 Yb 3.21-3.36
In 0.7122 0.2500 0.6042  7 Yb 3.21-3.36
In 0.7878 0.7500 0.1042  7 Yb 3.21-3.36

Computed properties:
- E_form (eV per atom) = -0.432
- E (eV per atom) = -2.36



# 6
A plane-wave DFT calculation with PBE was carried out for a relaxed structure of Yb2ZnIn.

Unit cell a=7.4647 b=7.4647 c=7.4647 alpha=90.00 beta=90.00 gamma=90.00
With the nearest neighbours (Å) after each atom.
Atoms (fractional coordinates):
Yb 0.2500 0.2500 0.2500  4 In 3.23, 4 Zn 3.23
Yb 0.2500 0.2500 0.7500  4 In 3.23, 4 Zn 3.23
Yb 0.2500 0.7500 0.2500  4 In 3.23, 4 Zn 3.23
Yb 0.2500 0.7500 0.7500  4 In 3.23, 4 Zn 3.23
Yb 0.7500 0.2500 0.2500  4 In 3.23, 4 Zn 3.23
Yb 0.7500 0.2500 0.7500  4 In 3.23, 4 Zn 3.23
Yb 0.7500 0.7500 0.2500  4 In 3.23, 4 Zn 3.23
Yb 0.7500 0.7500 0.7500  4 In 3.23, 4 Zn 3.23
Zn 0.0000 0.0000 0.0000  8 Yb 3.23
Zn 0.0000 0.5000 0.5000  8 Yb 3.23
Zn 0.5000 0.0000 0.5000  8 Yb 3.23
Zn 0.5000 0.5000 0.0000  8 Yb 3.23
In 0.0000 0.0000 0.5000  8 Yb 3.23
In 0.0000 0.5000 0.0000  8 Yb 3.23
In 0.5000 0.0000 0.0000  8 Yb 3.23
In 0.5000 0.5000 0.5000  8 Yb 3.23

Computed properties:
- E_form (eV per atom) = -0.412
- E (eV per atom) = -2.18



# 7
A plane-wave DFT calculation with PBE was carried out for a relaxed structure of ZnIn2.

Unit cell a=4.5290 b=4.5290 c=3.6770 alpha=90.00 beta=90.00 gamma=90.00
With the nearest neighbours (Å) after each atom.
Atoms (fractional coordinates):
Zn 0.0000 0.0000 0.0000  8 In 2.92
In 0.0000 0.5000 0.5000  4 Zn 2.92, 4 In 3.20
In 0.5000 0.0000 0.5000  4 Zn 2.92, 4 In 3.20

Computed properties:
- E_form (eV per atom) = 0.128
- E (eV per atom) = -2.12



# 8
A plane-wave DFT calculation with PBE was carried out for a relaxed structure of ZnIn4.

Unit cell a=6.5193 b=6.5193 c=6.5193 alpha=90.00 beta=90.00 gamma=90.00
With the nearest neighbours (Å) after each atom.
Atoms (fractional coordinates):
Zn 0.0000 0.0000 0.0000  8 In 2.82
Zn 0.5000 0.5000 0.5000  8 In 2.82
In 0.2500 0.2500 0.2500  2 Zn 2.82
In 0.2500 0.2500 0.7500  2 Zn 2.82
In 0.2500 0.7500 0.2500  2 Zn 2.82
In 0.2500 0.7500 0.7500  2 Zn 2.82
In 0.7500 0.2500 0.2500  2 Zn 2.82
In 0.7500 0.2500 0.7500  2 Zn 2.82
In 0.7500 0.7500 0.2500  2 Zn 2.82
In 0.7500 0.7500 0.7500  2 Zn 2.82

Computed properties:
- E_form (eV per atom) = 0.134
- relative energy among the computed polymorphs (eV per atom) = 0.0844
- E (eV per atom) = -2.31



Which value of E does entry 1 give? -6.15 eV per atom



E_form of number 2 (YZr2In)? -0.082 eV per atom



Which of these has the lowest E? number 2



Which value of E does entry 5 give? -2.36 eV per atom